This record from the Alexandria database describes an optimized crystal structure of Pr6Sm3Y2Tm. The functional is GGA-PBE.

Geometry as CIF:
```
data_Pr6Sm3Y2Tm
_chemical_formula_sum 'Pr12 Sm6 Y4 Tm2'
_cell_length_a 6.346
_cell_length_b 10.991
_cell_length_c 11.991
_cell_angle_alpha 90.00
_cell_angle_beta 100.11
_cell_angle_gamma 90.00
_space_group_name_H-M_alt 'C 1 2/m 1'
_space_group_IT_number 12
loop_
_space_group_symop_operation_xyz
'x,y,z'
'-x,-y,-z'
'-x,y,-z'
'x,-y,z'
'x+1/2,y+1/2,z'
'-x+1/2,-y+1/2,-z'
'-x+1/2,y+1/2,-z'
'x+1/2,-y+1/2,z'
loop_
_atom_site_label
_atom_site_fract_x
_atom_site_fract_y
_atom_site_fract_z
Pr1 0.249 0.000 0.252
Pr2 0.249 0.166 0.747
Sm1 0.000 0.167 0.000
Sm2 0.000 0.500 0.000
Y1 0.000 0.333 0.500
Tm1 0.000 0.000 0.500
```

# PrSmYTm GGA-PBE optimized geometry
data_PrSmYTm
_chemical_formula_sum 'Pr4 Sm4 Y4 Tm4'
_cell_length_a 8.111
_cell_length_b 8.111
_cell_length_c 8.111
_cell_angle_alpha 90.00
_cell_angle_beta 90.00
_cell_angle_gamma 90.00
_space_group_name_H-M_alt 'F -4 3 m'
_space_group_IT_number 216
_space_group_name_Hall 'F -4 2 3'
loop_
_atom_site_label
_atom_site_fract_x
_atom_site_fract_y
_atom_site_fract_z
Pr1 0.000 0.000 0.000
Sm1 0.000 0.000 0.500
Y1 0.250 0.250 0.750
Tm1 0.250 0.250 0.250
# - E above lowest polymorph: 0 meV per atom

This record from the Alexandria database describes an optimized crystal structure of Pr4Sm2Y2Tm. The functional is GGA-PBE.

Geometry as CIF:
```
data_Pr4Sm2Y2Tm
_chemical_formula_sum 'Pr8 Sm4 Y4 Tm2'
_cell_length_a 15.487
_cell_length_b 5.158
_cell_length_c 8.112
_cell_angle_alpha 90.00
_cell_angle_beta 108.61
_cell_angle_gamma 90.00
_space_group_name_H-M_alt 'C 1 2/m 1'
_space_group_IT_number 12
loop_
_space_group_symop_operation_xyz
'x,y,z'
'-x,-y,-z'
'-x,y,-z'
'x,-y,z'
'x+1/2,y+1/2,z'
'-x+1/2,-y+1/2,-z'
'-x+1/2,y+1/2,-z'
'x+1/2,-y+1/2,z'
loop_
_atom_site_label
_atom_site_fract_x
_atom_site_fract_y
_atom_site_fract_z
Pr1 0.054 0.000 0.331
Pr2 0.222 0.500 0.332
Sm1 0.111 0.500 0.670
Y1 0.166 0.000 0.000
Tm1 0.000 0.500 0.000
```

This record from the Alexandria database describes an optimized crystal structure of PrSmYTm2. The functional is GGA-PBE.

Geometry as CIF:
```
data_PrSmYTm2
_chemical_formula_sum 'Pr4 Sm4 Y4 Tm8'
_cell_length_a 8.376
_cell_length_b 11.540
_cell_length_c 7.198
_cell_angle_alpha 90.00
_cell_angle_beta 90.00
_cell_angle_gamma 90.00
_space_group_name_H-M_alt 'C m c m'
_space_group_IT_number 63
_space_group_name_Hall '-C 2c 2'
loop_
_atom_site_label
_atom_site_fract_x
_atom_site_fract_y
_atom_site_fract_z
Pr1 0.000 0.223 0.250
Sm1 0.000 0.491 0.250
Y1 0.000 0.226 0.750
Tm1 0.187 0.000 0.000
```

This record from the Alexandria database describes an optimized crystal structure of PrSm2Y6Tm3. The functional is GGA-PBE.

Geometry as CIF:
```
data_PrSm2Y6Tm3
_chemical_formula_sum 'Pr2 Sm4 Y12 Tm6'
_cell_length_a 6.194
_cell_length_b 10.719
_cell_length_c 11.823
_cell_angle_alpha 90.00
_cell_angle_beta 100.03
_cell_angle_gamma 90.00
_space_group_name_H-M_alt 'C 1 2/m 1'
_space_group_IT_number 12
loop_
_space_group_symop_operation_xyz
'x,y,z'
'-x,-y,-z'
'-x,y,-z'
'x,-y,z'
'x+1/2,y+1/2,z'
'-x+1/2,-y+1/2,-z'
'-x+1/2,y+1/2,-z'
'x+1/2,-y+1/2,z'
loop_
_atom_site_label
_atom_site_fract_x
_atom_site_fract_y
_atom_site_fract_z
Pr1 0.000 0.000 0.000
Sm1 0.000 0.333 0.000
Y1 0.248 0.333 0.746
Y2 0.249 0.000 0.746
Tm1 0.000 0.167 0.500
Tm2 0.000 0.500 0.500
```

This record from the Alexandria database describes an optimized crystal structure of Pr2Sm3Y6Tm. The functional is GGA-PBE.

Geometry as CIF:
```
data_Pr2Sm3Y6Tm
_chemical_formula_sum 'Pr4 Sm6 Y12 Tm2'
_cell_length_a 6.244
_cell_length_b 10.810
_cell_length_c 11.897
_cell_angle_alpha 90.00
_cell_angle_beta 100.03
_cell_angle_gamma 90.00
_space_group_name_H-M_alt 'C 1 2/m 1'
_space_group_IT_number 12
loop_
_space_group_symop_operation_xyz
'x,y,z'
'-x,-y,-z'
'-x,y,-z'
'x,-y,z'
'x+1/2,y+1/2,z'
'-x+1/2,-y+1/2,-z'
'-x+1/2,y+1/2,-z'
'x+1/2,-y+1/2,z'
loop_
_atom_site_label
_atom_site_fract_x
_atom_site_fract_y
_atom_site_fract_z
Pr1 0.000 0.166 0.000
Sm1 0.000 0.000 0.500
Sm2 0.000 0.333 0.500
Y1 0.249 0.334 0.250
Y2 0.249 0.500 0.749
Tm1 0.000 0.500 0.000
```

This record from the Alexandria database describes an optimized crystal structure of PrSm2Y6Tm. The functional is GGA-PBE.

Geometry as CIF:
```
data_PrSm2Y6Tm
_chemical_formula_sum 'Pr4 Sm8 Y24 Tm4'
_cell_length_a 9.134
_cell_length_b 15.082
_cell_length_c 9.720
_cell_angle_alpha 90.00
_cell_angle_beta 98.57
_cell_angle_gamma 90.00
_space_group_name_H-M_alt 'C 1 2/c 1'
_space_group_IT_number 15
loop_
_space_group_symop_operation_xyz
'x,y,z'
'-x,-y,-z'
'-x,y,-z+1/2'
'x,-y,z+1/2'
'x+1/2,y+1/2,z'
'-x+1/2,-y+1/2,-z'
'-x+1/2,y+1/2,-z+1/2'
'x+1/2,-y+1/2,z+1/2'
loop_
_atom_site_label
_atom_site_fract_x
_atom_site_fract_y
_atom_site_fract_z
Pr1 0.000 0.021 0.250
Sm1 0.248 0.051 0.546
Y1 0.066 0.189 0.943
Y2 0.098 0.394 0.117
Y3 0.208 0.223 0.315
Tm1 0.000 0.408 0.750
```

This record from the Alexandria database describes an optimized crystal structure of PrSmY2Tm5. The functional is GGA-PBE.

Geometry as CIF:
```
data_PrSmY2Tm5
_chemical_formula_sum 'Pr4 Sm4 Y8 Tm20'
_cell_length_a 8.729
_cell_length_b 8.729
_cell_length_c 15.097
_cell_angle_alpha 90.00
_cell_angle_beta 90.00
_cell_angle_gamma 90.00
_space_group_name_H-M_alt 'I 4/m c m'
_space_group_IT_number 140
_space_group_name_Hall '-I 4 2c'
loop_
_atom_site_label
_atom_site_fract_x
_atom_site_fract_y
_atom_site_fract_z
Pr1 0.000 0.500 0.250
Sm1 0.000 0.000 0.250
Y1 0.117 0.383 0.000
Tm1 0.000 0.000 0.000
Tm2 0.205 0.295 0.364
```

For the records above, the corresponding energy values read -5.0084, -5.0050, -5.0845, -4.6105, -5.5114, -5.5673, -5.6343, -4.6864 eV per atom.
For the records above, the corresponding calculated formation energy values read 0.0111, 0.1035, 0.0217, 0.3706, 0.0233, 0.0137, 0.1130, 0.2897 eV/atom.